## P
Below is an optimized crystal structure of NaSb2PdI, with properties calculated at the PBE-GGA level.

Calculated values
V in Å³ per cell: 162.4
Mass density in Mg/m³: 5.11

```
5
Lattice="5.402 0.000 0.000 0.000 5.402 0.000 0.000 0.000 5.564" Properties=species:S:1:pos:R:3 pbc="T T T"
Na 0.000 0.000 0.000
Sb 0.000 2.701 0.000
Sb 2.701 0.000 0.000
Pd 2.701 2.701 2.782
I 0.000 0.000 2.782
```

## Q
Below is an optimized crystal structure of NaSb2PdI, with properties calculated at the PBE-GGA level.

Calculated values
V in Å³ per cell: 229.1
Mass density in Mg/m³: 3.62

```
5
Lattice="4.989 0.000 0.000 0.000 4.989 0.000 0.000 0.000 9.205" Properties=species:S:1:pos:R:3 pbc="T T T"
Na 0.000 0.000 0.000
Sb 0.000 2.494 4.602
Sb 2.494 0.000 4.602
Pd 2.494 2.494 4.602
I 2.494 2.494 0.000
```

On energetic grounds, Q is preferred over the next structure by 940 meV per atom.

## P
Below is an optimized crystal structure of NaSbPdI2, with properties calculated at the PBE-GGA level.

Calculated values
V in Å³ per cell: 184.1
Mass density in Mg/m³: 4.55

```
5
Lattice="5.678 0.000 0.000 0.000 5.678 0.000 0.000 0.000 5.710" Properties=species:S:1:pos:R:3 pbc="T T T"
Na 0.000 0.000 0.000
Sb 0.000 0.000 2.855
Pd 2.839 2.839 2.855
I 0.000 2.839 0.000
I 2.839 0.000 0.000
```

## Q
Below is an optimized crystal structure of NaSbPdI2, with properties calculated at the PBE-GGA level.

Calculated values
V in Å³ per cell: 174.0
Mass density in Mg/m³: 4.82

```
5
Lattice="5.845 0.000 0.000 0.000 5.845 0.000 0.000 0.000 5.092" Properties=species:S:1:pos:R:3 pbc="T T T"
Na 0.000 0.000 0.000
Sb 2.922 2.922 0.000
Pd 2.922 2.922 2.546
I 0.000 2.922 2.546
I 2.922 0.000 2.546
```

On energetic grounds, Q is preferred over the next structure by 839 meV per atom.

## P
Below is an optimized crystal structure of NaTePdI2, with properties calculated at the PBE-GGA level.

Calculated values
V in Å³ per cell: 170.8
Mass density in Mg/m³: 4.97

```
5
Lattice="5.682 0.000 0.000 0.000 5.682 0.000 0.000 0.000 5.292" Properties=species:S:1:pos:R:3 pbc="T T T"
Na 0.000 0.000 0.000
Te 2.841 2.841 0.000
Pd 2.841 2.841 2.646
I 0.000 2.841 2.646
I 2.841 0.000 2.646
```

## Q
Below is an optimized crystal structure of NaTePdI2, with properties calculated at the PBE-GGA level.

Calculated values
V in Å³ per cell: 193.9
Mass density in Mg/m³: 4.37

```
5
Lattice="5.789 0.000 0.000 0.000 5.789 0.000 0.000 0.000 5.786" Properties=species:S:1:pos:R:3 pbc="T T T"
Na 0.000 0.000 0.000
Te 0.000 0.000 2.893
Pd 2.894 2.894 2.893
I 0.000 2.894 0.000
I 2.894 0.000 0.000
```

On energetic grounds, P is preferred over the next structure by 834 meV per atom.

## P
Below is an optimized crystal structure of Na3PmI6, with properties calculated at the PBE-GGA level.

Calculated values
V in Å³ per cell: 793.0
Mass density in Mg/m³: 4.08

```
20
Lattice="7.875 0.000 0.000 0.000 8.446 0.000 -7.843 0.000 11.924" Properties=species:S:1:pos:R:3 pbc="T T T"
Na 0.000 0.000 0.000
Na -3.921 4.223 5.962
Na -4.239 0.835 8.837
Na -0.318 3.388 2.875
Na 0.350 5.057 9.048
Na 4.272 7.611 3.086
Pm 0.016 0.000 5.962
Pm 3.937 4.223 0.000
I -2.529 1.522 5.092
I -6.450 2.701 11.054
I -1.314 5.794 5.011
I -5.235 6.875 10.973
I 1.190 0.504 3.100
I -2.732 3.719 9.062
I 2.764 4.727 2.861
I -1.157 7.942 8.823
I 5.267 1.571 0.951
I 1.346 2.652 6.912
I 6.482 5.744 0.870
I 2.561 6.924 6.832
```

## Q
Below is an optimized crystal structure of Na3PmI6, with properties calculated at the PBE-GGA level.

Calculated values
V in Å³ per cell: 860.7
Mass density in Mg/m³: 3.76

```
20
Lattice="6.786 3.918 5.396 -6.786 3.918 5.396 0.000 -7.835 5.396" Properties=species:S:1:pos:R:3 pbc="T T T"
Na -4.541 -1.354 7.568
Na -1.098 -4.610 8.621
Na -3.443 3.256 8.621
Na 3.443 -3.256 7.568
Na 1.098 4.610 7.568
Na 4.541 1.354 8.621
Pm 0.000 0.000 0.000
Pm 0.000 0.000 8.095
I -4.334 -4.241 8.915
I -5.839 1.633 7.274
I -1.475 -2.148 6.379
I 1.505 -5.874 7.274
I -1.123 2.352 6.379
I -2.598 0.204 9.810
I 2.598 -0.204 6.379
I 1.123 -2.352 9.810
I -1.505 5.874 8.915
I 1.475 2.148 9.810
I 5.839 -1.633 8.915
I 4.334 4.241 7.274
```

On energetic grounds, Q is preferred over the next structure by 5 meV per atom.

## P
Below is an optimized crystal structure of Na2PmI5, with properties calculated at the PBE-GGA level.

Calculated values
V in Å³ per cell: 554.2
Mass density in Mg/m³: 2.47

```
8
Lattice="8.374 -4.406 0.000 8.374 4.406 0.000 -4.611 0.000 7.510" Properties=species:S:1:pos:R:3 pbc="T T T"
Na 0.000 0.000 0.000
Na 6.074 0.000 3.748
Pm 9.383 0.000 0.601
I 5.150 2.112 5.880
I 7.605 2.111 2.001
I 5.150 -2.112 5.880
I 7.605 -2.111 2.001
I 11.890 0.000 2.091
```

## Q
Below is an optimized crystal structure of Na2PmI5, with properties calculated at the PBE-GGA level.

Calculated values
V in Å³ per cell: 1218.9
Mass density in Mg/m³: 4.50

```
32
Lattice="13.939 0.000 0.000 0.000 9.560 0.000 0.000 0.000 9.147" Properties=species:S:1:pos:R:3 pbc="T T T"
Na 2.509 0.167 0.164
Na 2.509 4.613 0.164
Na 4.460 4.947 4.738
Na 4.460 9.393 4.738
Na 9.479 0.167 4.409
Na 9.479 4.613 4.409
Na 11.430 4.947 8.982
Na 11.430 9.393 8.982
Pm 0.077 7.170 5.356
Pm 6.892 2.390 0.782
Pm 7.047 7.170 8.364
Pm 13.862 2.390 3.791
I 0.094 7.170 8.604
I 1.207 0.447 6.065
I 1.207 4.333 6.065
I 2.536 7.170 3.329
I 2.965 2.390 2.940
I 4.005 7.170 7.513
I 4.434 2.390 7.902
I 5.763 5.228 1.492
I 5.763 9.113 1.492
I 6.876 2.390 4.031
I 7.063 7.170 5.116
I 8.177 0.447 7.654
I 8.177 4.333 7.654
I 9.506 7.170 1.245
I 9.935 2.390 1.634
I 10.974 7.170 6.207
I 11.404 2.390 5.818
I 12.733 5.228 3.081
I 12.733 9.113 3.081
I 13.846 2.390 0.543
```

On energetic grounds, Q is preferred over the next structure by 48 meV per atom.

## P
Below is an optimized crystal structure of NaPmI4, with properties calculated at the PBE-GGA level.

Calculated values
V in Å³ per cell: 280.2
Mass density in Mg/m³: 4.00

```
6
Lattice="7.660 0.000 0.000 0.000 4.531 0.000 -0.274 0.000 8.073" Properties=species:S:1:pos:R:3 pbc="T T T"
Na 0.000 0.000 0.000
Pm -0.137 2.266 4.037
I 1.675 2.266 1.551
I 1.645 0.000 5.320
I 5.741 0.000 2.753
I 5.711 2.266 6.522
```

## Q
Below is an optimized crystal structure of NaPmI4, with properties calculated at the PBE-GGA level.

Calculated values
V in Å³ per cell: 570.6
Mass density in Mg/m³: 3.93

```
12
Lattice="4.611 -9.586 0.000 4.611 9.586 0.000 -4.399 0.000 6.455" Properties=species:S:1:pos:R:3 pbc="T T T"
Na 1.312 8.051 4.841
Na 3.512 -8.051 1.614
Pm 3.512 1.490 1.614
Pm 1.312 -1.490 4.841
I 1.298 3.472 1.586
I -0.943 0.909 4.960
I 1.257 -0.909 1.732
I -0.901 -3.472 4.814
I 5.725 3.472 1.641
I 3.567 0.909 4.722
I 5.766 -0.909 1.495
I 3.525 -3.472 4.868
```

On energetic grounds, P is preferred over the next structure by 30 meV per atom.

## P
Below is an optimized crystal structure of NaPrI2, with properties calculated at the PBE-GGA level.

Calculated values
V in Å³ per cell: 132.3
Mass density in Mg/m³: 5.24

```
4
Lattice="2.081 1.202 8.818 -2.081 1.202 8.818 0.000 -2.403 8.818" Properties=species:S:1:pos:R:3 pbc="T T T"
Na 0.000 0.000 0.000
Pr 0.000 0.000 22.049
I 0.000 0.000 10.941
I 0.000 0.000 15.508
```

## Q
Below is an optimized crystal structure of NaPrI2, with properties calculated at the PBE-GGA level.

Calculated values
V in Å³ per cell: 125.4
Mass density in Mg/m³: 5.53

```
4
Lattice="3.999 0.000 0.000 0.000 3.999 0.000 0.000 0.000 7.840" Properties=species:S:1:pos:R:3 pbc="T T T"
Na 0.000 0.000 0.000
Pr 0.000 0.000 3.920
I 1.999 1.999 2.084
I 1.999 1.999 5.756
```

## R
Below is an optimized crystal structure of NaPrI2, with properties calculated at the PBE-GGA level.

Calculated values
V in Å³ per cell: 133.6
Mass density in Mg/m³: 5.19

```
4
Lattice="4.139 0.000 0.000 -2.069 3.584 0.000 0.000 0.000 9.007" Properties=species:S:1:pos:R:3 pbc="T T T"
Na 0.000 0.000 0.000
Pr 0.000 0.000 4.504
I 0.000 2.389 2.217
I 0.000 2.389 6.790
```

On energetic grounds, P is preferred over the next structure by 8 meV per atom.

## P
Below is an optimized crystal structure of NaPr2I6, with properties calculated at the PBE-GGA level.

Calculated values
V in Å³ per cell: 414.3
Mass density in Mg/m³: 4.27

```
9
Lattice="3.868 2.233 7.991 -3.868 2.233 7.991 0.000 -4.467 7.991" Properties=species:S:1:pos:R:3 pbc="T T T"
Na 0.000 0.000 0.000
Pr 0.000 0.000 4.090
Pr 0.000 0.000 19.884
I -2.600 0.065 10.088
I -1.356 -2.219 13.887
I 1.244 -2.284 10.088
I -1.244 2.284 13.887
I 1.356 2.219 10.088
I 2.600 -0.065 13.887
```

## Q
Below is an optimized crystal structure of NaPr2I6, with properties calculated at the PBE-GGA level.

Calculated values
V in Å³ per cell: 805.4
Mass density in Mg/m³: 4.40

```
18
Lattice="7.716 0.000 0.000 0.000 7.716 0.000 0.000 0.000 13.528" Properties=species:S:1:pos:R:3 pbc="T T T"
Na 0.000 0.000 0.000
Na 3.858 3.858 6.764
Pr 0.000 0.000 4.692
Pr 0.000 0.000 8.835
Pr 3.858 3.858 2.071
Pr 3.858 3.858 11.456
I 1.589 1.589 2.326
I 1.589 1.589 11.202
I 1.656 1.656 6.764
I 2.202 5.514 0.000
I 2.269 5.447 4.438
I 2.269 5.447 9.090
I 5.447 2.269 4.438
I 5.447 2.269 9.090
I 5.514 2.202 0.000
I 6.060 6.060 6.764
I 6.127 6.127 2.326
I 6.127 6.127 11.202
```

On energetic grounds, P is preferred over the next structure by 12 meV per atom.

## P
Below is an optimized crystal structure of NaPtI, with properties calculated at the PBE-GGA level.

Calculated values
V in Å³ per cell: 174.0
Mass density in Mg/m³: 6.59

```
6
Lattice="5.363 -1.958 0.000 5.363 1.958 0.000 -4.030 0.000 8.285" Properties=species:S:1:pos:R:3 pbc="T T T"
Na 0.000 0.000 0.000
Na 4.279 0.000 2.647
Pt 1.395 0.000 2.796
Pt 7.409 0.000 1.146
I -1.041 0.000 7.732
I 6.623 0.000 4.636
```

## Q
Below is an optimized crystal structure of NaPtI, with properties calculated at the PBE-GGA level.

Calculated values
V in Å³ per cell: 172.7
Mass density in Mg/m³: 6.63

```
6
Lattice="4.985 -1.956 0.000 4.985 1.956 0.000 -0.228 0.000 8.860" Properties=species:S:1:pos:R:3 pbc="T T T"
Na 0.000 0.000 0.000
Na 4.877 0.000 4.425
Pt 2.695 0.000 0.866
Pt 7.048 0.000 7.993
I 1.855 0.000 6.138
I 7.893 0.000 2.722
```

## R
Below is an optimized crystal structure of NaPtI, with properties calculated at the PBE-GGA level.

Calculated values
V in Å³ per cell: 172.8
Mass density in Mg/m³: 6.63

```
6
Lattice="3.903 0.000 0.000 0.000 4.873 0.000 0.000 0.000 9.086" Properties=species:S:1:pos:R:3 pbc="T T T"
Na 0.000 0.000 0.000
Na 1.952 0.000 3.795
Pt 0.000 2.437 7.734
Pt 1.952 2.437 0.434
I 0.000 2.437 2.399
I 1.952 2.437 5.933
```

## S
Below is an optimized crystal structure of NaPtI, with properties calculated at the PBE-GGA level.

Calculated values
V in Å³ per cell: 73.3
Mass density in Mg/m³: 7.82

```
3
Lattice="0.000 3.321 3.321 3.321 0.000 3.321 3.321 3.321 0.000" Properties=species:S:1:pos:R:3 pbc="T T T"
Na 0.000 0.000 0.000
Pt 4.981 4.981 4.981
I 3.321 3.321 3.321
```

On energetic grounds, P is preferred over the next structure by 26 meV per atom.

## P
Below is an optimized crystal structure of NaPtI, with properties calculated at the PBE-GGA level.

Calculated values
V in Å³ per cell: 172.9
Mass density in Mg/m³: 6.62

```
6
Lattice="5.361 -1.952 0.000 5.361 1.952 0.000 -4.229 0.000 8.263" Properties=species:S:1:pos:R:3 pbc="T T T"
Na -0.697 0.000 1.603
Na 7.191 0.000 6.660
Pt 2.348 0.000 0.828
Pt 4.146 0.000 7.434
I -0.519 0.000 5.667
I 7.013 0.000 2.595
```

## Q
Below is an optimized crystal structure of NaPtI, with properties calculated at the PBE-GGA level.

Calculated values
V in Å³ per cell: 184.0
Mass density in Mg/m³: 6.23

```
6
Lattice="3.995 0.000 0.000 -1.986 5.159 0.000 -1.130 -2.304 8.925" Properties=species:S:1:pos:R:3 pbc="T T T"
Na 0.000 0.000 0.000
Na 0.001 2.131 3.774
Pt -1.095 2.950 6.452
Pt 0.908 1.231 6.430
I -1.096 -0.470 5.813
I 2.000 2.102 1.445
```

On energetic grounds, P is preferred over the next structure by 54 meV per atom.